Crystalline Rb2Tc2O5 at its relaxed geometry. Source: OQMD via LeMat-Bulk, functional PBE.

The structure in CIF format:
```
data_Rb2Tc2O5
_chemical_formula_sum 'Rb4 Tc4 O10'
_cell_length_a 8.8998
_cell_length_b 5.5361
_cell_length_c 6.7042
_cell_angle_alpha 90.00
_cell_angle_beta 116.36
_cell_angle_gamma 90.00
_symmetry_space_group_name_H-M 'C 1 m 1'
_symmetry_Int_Tables_number 8
loop_
_symmetry_equiv_pos_as_xyz
'x,y,z'
'x,-y,z'
'x+1/2,y+1/2,z'
'x+1/2,-y+1/2,z'
loop_
_atom_site_label
_atom_site_type_symbol
_atom_site_fract_x
_atom_site_fract_y
_atom_site_fract_z
Rb1 Rb 0.0000 0.0000 0.0000
Rb2 Rb 0.2427 0.5000 0.2405
Tc1 Tc 0.0380 0.5000 0.6218
Tc2 Tc 0.2085 0.0000 0.6265
O1 O 0.0576 0.2490 0.4229
O2 O 0.1863 0.2507 0.8162
O3 O 0.4438 0.0000 0.8340
```

Calculated values
Calculated volume: 16.44 A^3/atom
Offset from the most stable computed form: 0.00 eV/f.u.
Magnetic moment: 0.0 μB/f.u.

---

Crystalline RbTcO3 at its relaxed geometry. Source: OQMD via LeMat-Bulk, functional PBE.

The structure in CIF format:
```
data_RbTcO3
_chemical_formula_sum 'Rb4 Tc4 O12'
_cell_length_a 5.1900
_cell_length_b 11.1633
_cell_length_c 6.2265
_cell_angle_alpha 90.00
_cell_angle_beta 90.00
_cell_angle_gamma 90.00
_symmetry_space_group_name_H-M 'P n m a'
_symmetry_Int_Tables_number 62
loop_
_symmetry_equiv_pos_as_xyz
'x,y,z'
'-x,-y,-z'
'-x+1/2,-y,z+1/2'
'x+1/2,y,-z+1/2'
'x+1/2,-y+1/2,-z+1/2'
'-x+1/2,y+1/2,z+1/2'
'-x,y+1/2,-z'
'x,-y+1/2,z'
loop_
_atom_site_label
_atom_site_type_symbol
_atom_site_fract_x
_atom_site_fract_y
_atom_site_fract_z
Rb1 Rb 0.0000 0.0000 0.0000
Tc1 Tc 0.0384 0.2500 0.4528
O1 O 0.0187 0.6145 0.4117
O2 O 0.1227 0.7500 0.8278
```

Calculated values
Uncorrected energy: -6.68 eV per atom
Calculated volume: 18.04 A^3/atom
Magnetic moment: 1.0 μB/f.u.

---

Crystalline RbTmTeO at its relaxed geometry. Source: OQMD via LeMat-Bulk, functional PBE.

The structure in CIF format:
```
data_RbTmTeO
_chemical_formula_sum 'Rb4 Tm4 Te4 O4'
_cell_length_a 9.2552
_cell_length_b 7.3433
_cell_length_c 6.6151
_cell_angle_alpha 90.00
_cell_angle_beta 98.59
_cell_angle_gamma 90.00
_symmetry_space_group_name_H-M 'P 1 21/c 1'
_symmetry_Int_Tables_number 14
loop_
_symmetry_equiv_pos_as_xyz
'x,y,z'
'-x,-y,-z'
'-x,y+1/2,-z+1/2'
'x,-y+1/2,z+1/2'
loop_
_atom_site_label
_atom_site_type_symbol
_atom_site_fract_x
_atom_site_fract_y
_atom_site_fract_z
Rb1 Rb 0.1315 0.0909 0.3371
Tm1 Tm 0.4925 0.6352 0.7927
Te1 Te 0.2552 0.5778 0.3781
O1 O 0.4326 0.1420 0.3856
```

Calculated values
Calculated volume: 27.78 A^3/atom
Offset from the most stable computed form: 0.00 eV/f.u.
Magnetic moment: 0.0 μB/f.u.

---

Crystalline RbTmTeO at its relaxed geometry. Source: OQMD via LeMat-Bulk, functional PBE.

The structure in CIF format:
```
data_RbTmTeO
_chemical_formula_sum 'Rb2 Tm2 Te2 O2'
_cell_length_a 4.7557
_cell_length_b 8.7035
_cell_length_c 6.9339
_cell_angle_alpha 90.00
_cell_angle_beta 90.00
_cell_angle_gamma 90.00
_symmetry_space_group_name_H-M 'P m c 21'
_symmetry_Int_Tables_number 26
loop_
_symmetry_equiv_pos_as_xyz
'x,y,z'
'-x,-y,z+1/2'
'-x,y,z'
'x,-y,z+1/2'
loop_
_atom_site_label
_atom_site_type_symbol
_atom_site_fract_x
_atom_site_fract_y
_atom_site_fract_z
Rb1 Rb 0.0000 0.2131 0.0000
Tm1 Tm 0.5000 0.3958 0.4100
Te1 Te 0.0000 0.2075 0.5028
O1 O 0.5000 0.4273 0.1105
```

Calculated values
Calculated volume: 35.88 A^3/atom
Offset from the most stable computed form: 0.62 eV/f.u.
Magnetic moment: 0.0 μB/f.u.

---

Crystalline RbTmTeO at its relaxed geometry. Source: OQMD via LeMat-Bulk, functional PBE.

The structure in CIF format:
```
data_RbTmTeO
_chemical_formula_sum 'Rb2 Tm2 Te2 O2'
_cell_length_a 4.2749
_cell_length_b 4.2749
_cell_length_c 10.7478
_cell_angle_alpha 90.00
_cell_angle_beta 90.00
_cell_angle_gamma 90.00
_symmetry_space_group_name_H-M 'P 4/n m m'
_symmetry_Int_Tables_number 129
loop_
_symmetry_equiv_pos_as_xyz
'x,y,z'
'-x,-y,-z'
'-y+1/2,x,z'
'y+1/2,-x,-z'
'-x+1/2,-y+1/2,z'
'x+1/2,y+1/2,-z'
'y,-x+1/2,z'
'-y,x+1/2,-z'
'x+1/2,-y,-z'
'-x+1/2,y,z'
'-y,-x,-z'
'y,x,z'
'-x,y+1/2,-z'
'x,-y+1/2,z'
'y+1/2,x+1/2,-z'
'-y+1/2,-x+1/2,z'
loop_
_atom_site_label
_atom_site_type_symbol
_atom_site_fract_x
_atom_site_fract_y
_atom_site_fract_z
Rb1 Rb 0.2500 0.7500 0.0000
Tm1 Tm 0.2500 0.2500 0.4219
Te1 Te 0.2500 0.2500 0.7529
O1 O 0.2500 0.7500 0.5000
```

Calculated values
Calculated volume: 24.55 A^3/atom
Offset from the most stable computed form: 1.46 eV/f.u.
Magnetic moment: 0.0 μB/f.u.

---

Crystalline RbTmTeO at its relaxed geometry. Source: OQMD via LeMat-Bulk, functional PBE.

The structure in CIF format:
```
data_RbTmTeO
_chemical_formula_sum 'Rb3 Tm3 Te3 O3'
_cell_length_a 3.8501
_cell_length_b 3.8501
_cell_length_c 23.2029
_cell_angle_alpha 90.00
_cell_angle_beta 90.00
_cell_angle_gamma 120.00
_symmetry_space_group_name_H-M 'R 3 m'
_symmetry_Int_Tables_number 160
_symmetry_space_group_name_Hall 'R 3 -2"'
loop_
_atom_site_label
_atom_site_type_symbol
_atom_site_fract_x
_atom_site_fract_y
_atom_site_fract_z
Rb1 Rb 0.0000 0.0000 0.0000
Tm1 Tm 0.0000 0.0000 0.5320
Te1 Te 0.0000 0.0000 0.7803
O1 O 0.0000 0.0000 0.2377
```

Calculated values
Calculated volume: 24.82 A^3/atom
Offset from the most stable computed form: 1.47 eV/f.u.
Magnetic moment: 0.0 μB/f.u.

---

Crystalline RbTmO3 at its relaxed geometry. Source: OQMD via LeMat-Bulk, functional PBE.

The structure in CIF format:
```
data_RbTmO3
_chemical_formula_sum 'Rb1 Tm1 O3'
_cell_length_a 4.3755
_cell_length_b 4.3755
_cell_length_c 4.3884
_cell_angle_alpha 90.00
_cell_angle_beta 90.00
_cell_angle_gamma 90.00
_symmetry_space_group_name_H-M 'P 4 m m'
_symmetry_Int_Tables_number 99
loop_
_symmetry_equiv_pos_as_xyz
'x,y,z'
'-y,x,z'
'-x,-y,z'
'y,-x,z'
'-x,y,z'
'y,x,z'
'x,-y,z'
'-y,-x,z'
loop_
_atom_site_label
_atom_site_type_symbol
_atom_site_fract_x
_atom_site_fract_y
_atom_site_fract_z
Rb1 Rb 0.0000 0.0000 0.0000
Tm1 Tm 0.5000 0.5000 0.4998
O1 O 0.0000 0.5000 0.5041
O2 O 0.5000 0.5000 0.9999
```

Calculated values
Uncorrected energy: -5.98 eV per atom
Calculated volume: 16.80 A^3/atom
Magnetic moment: 2.0 μB/f.u.

---

Crystalline RbTmO3 at its relaxed geometry. Source: OQMD via LeMat-Bulk, functional PBE.

The structure in CIF format:
```
data_RbTmO3
_chemical_formula_sum 'Rb4 Tm4 O12'
_cell_length_a 6.2276
_cell_length_b 8.7998
_cell_length_c 6.2178
_cell_angle_alpha 90.00
_cell_angle_beta 90.00
_cell_angle_gamma 90.00
_symmetry_space_group_name_H-M 'P n m a'
_symmetry_Int_Tables_number 62
loop_
_symmetry_equiv_pos_as_xyz
'x,y,z'
'-x,-y,-z'
'-x+1/2,-y,z+1/2'
'x+1/2,y,-z+1/2'
'x+1/2,-y+1/2,-z+1/2'
'-x+1/2,y+1/2,z+1/2'
'-x,y+1/2,-z'
'x,-y+1/2,z'
loop_
_atom_site_label
_atom_site_type_symbol
_atom_site_fract_x
_atom_site_fract_y
_atom_site_fract_z
Rb1 Rb 0.0005 0.2500 0.0007
Tm1 Tm 0.0000 0.0000 0.5000
O1 O 0.0026 0.2500 0.5021
O2 O 0.2474 0.0000 0.7526
```

Calculated values
Uncorrected energy: -5.98 eV per atom
Calculated volume: 17.04 A^3/atom
Magnetic moment: 2.0 μB/f.u.

---

Crystalline RbTmO3 at its relaxed geometry. Source: OQMD via LeMat-Bulk, functional PBE.

The structure in CIF format:
```
data_RbTmO3
_chemical_formula_sum 'Rb6 Tm6 O18'
_cell_length_a 6.7149
_cell_length_b 6.7149
_cell_length_c 14.0995
_cell_angle_alpha 90.00
_cell_angle_beta 90.00
_cell_angle_gamma 120.00
_symmetry_space_group_name_H-M 'R -3 c'
_symmetry_Int_Tables_number 167
_symmetry_space_group_name_Hall '-R 3 2"c'
loop_
_atom_site_label
_atom_site_type_symbol
_atom_site_fract_x
_atom_site_fract_y
_atom_site_fract_z
Rb1 Rb 0.0000 0.0000 0.0000
Tm1 Tm 0.0000 0.0000 0.2500
O1 O 0.0000 0.3080 0.2500
```

Calculated values
Uncorrected energy: -5.36 eV per atom
Calculated volume: 18.35 A^3/atom
Magnetic moment: 2.0 μB/f.u.

---

Crystalline RbTmO3 at its relaxed geometry. Source: OQMD via LeMat-Bulk, functional PBE.

The structure in CIF format:
```
data_RbTmO3
_chemical_formula_sum 'Rb1 Tm1 O3'
_cell_length_a 3.2046
_cell_length_b 3.2046
_cell_length_c 7.1534
_cell_angle_alpha 90.00
_cell_angle_beta 90.00
_cell_angle_gamma 90.00
_symmetry_space_group_name_H-M 'P 4 m m'
_symmetry_Int_Tables_number 99
loop_
_symmetry_equiv_pos_as_xyz
'x,y,z'
'-y,x,z'
'-x,-y,z'
'y,-x,z'
'-x,y,z'
'y,x,z'
'x,-y,z'
'-y,-x,z'
loop_
_atom_site_label
_atom_site_type_symbol
_atom_site_fract_x
_atom_site_fract_y
_atom_site_fract_z
Rb1 Rb 0.0000 0.0000 0.0000
Tm1 Tm 0.5000 0.5000 0.5145
O1 O 0.0000 0.0000 0.6271
O2 O 0.0000 0.5000 0.2928
```

Calculated values
Uncorrected energy: -5.73 eV per atom
Calculated volume: 14.69 A^3/atom
Magnetic moment: 0.0 μB/f.u.

---

Crystalline Rb2Tm3O4 at its relaxed geometry. Source: OQMD via LeMat-Bulk, functional PBE.

The structure in CIF format:
```
data_Rb2Tm3O4
_chemical_formula_sum 'Rb8 Tm12 O16'
_cell_length_a 16.2098
_cell_length_b 6.9226
_cell_length_c 6.5154
_cell_angle_alpha 90.00
_cell_angle_beta 102.74
_cell_angle_gamma 90.00
_symmetry_space_group_name_H-M 'C 1 2/c 1'
_symmetry_Int_Tables_number 15
loop_
_symmetry_equiv_pos_as_xyz
'x,y,z'
'-x,-y,-z'
'-x,y,-z+1/2'
'x,-y,z+1/2'
'x+1/2,y+1/2,z'
'-x+1/2,-y+1/2,-z'
'-x+1/2,y+1/2,-z+1/2'
'x+1/2,-y+1/2,z+1/2'
loop_
_atom_site_label
_atom_site_type_symbol
_atom_site_fract_x
_atom_site_fract_y
_atom_site_fract_z
Rb1 Rb 0.0992 0.0694 0.4180
Tm1 Tm 0.0000 0.4844 0.7500
Tm2 Tm 0.1888 0.4007 0.1122
O1 O 0.0487 0.3128 0.0392
O2 O 0.2402 0.1052 0.1559
```

Calculated values
Uncorrected energy: -6.20 eV per atom
Calculated volume: 19.81 A^3/atom
Magnetic moment: 0.1 μB/f.u.

---

Crystalline RbTmO3 at its relaxed geometry. Source: OQMD via LeMat-Bulk, functional PBE.

The structure in CIF format:
```
data_RbTmO3
_chemical_formula_sum 'Rb6 Tm6 O18'
_cell_length_a 6.4035
_cell_length_b 6.4035
_cell_length_c 16.1368
_cell_angle_alpha 90.00
_cell_angle_beta 90.00
_cell_angle_gamma 120.00
_symmetry_space_group_name_H-M 'R -3'
_symmetry_Int_Tables_number 148
_symmetry_space_group_name_Hall '-R 3'
loop_
_atom_site_label
_atom_site_type_symbol
_atom_site_fract_x
_atom_site_fract_y
_atom_site_fract_z
Rb1 Rb 0.0000 0.0000 0.1213
Tm1 Tm 0.0000 0.0000 0.3444
O1 O 0.0165 0.4875 0.9292
```

Calculated values
Uncorrected energy: -5.98 eV per atom
Calculated volume: 19.10 A^3/atom
Magnetic moment: 2.0 μB/f.u.

---

Q: Number 7 is which compound?
A: RbTmO3

---

Q: Look up the magnetic moment of the second one.
A: 1.0 μB/f.u.

---

Q: Which of these has the lowest calculated volume?
A: number 10